An optimized crystal structure of AcSn2, computed with GGA-PBE.

Electronic total energy, eV/atom: -4.4797
Energy of formation from the pure elements, eV/atom: -0.442
Size of the total moment, μB/cell: 0.00
Volume, Å³/cell: 102.2
Space-group type: C2/m
Energy relative to the lowest polymorph listed for this composition, eV/atom: 0.136

a b c (Å): 4.706 4.706 5.029
angles (deg): 106.18 106.18 90.64
Atoms (fractional coordinates):
Sn  0.125  0.125  0.308
Sn  0.875  0.875  0.692
Ac  0.500  0.500  0.000